1.
This record from Alexandria via LeMat-Bulk describes Ru2PtCl at its PBEsol-relaxed geometry. The functional is meta-GGA SCAN.

Calculated values
Formation energy without anion corrections   814 meV/atom
Crystal system   tetragonal
D(E_F)   3.6 states/eV/f.u.

The structure in extended XYZ format:
```
4
Lattice="-0.0773 -1.5350 -3.8818 3.8495 1.4161 1.6086 2.8640 -2.8439 1.0676" Properties=species:S:1:pos:R:3 pbc="T T T"
Ru 2.6214 -0.3867 0.1007
Ru 4.0148 -2.5761 -1.3063
Pt 0.0000 0.0000 0.0000
Cl 1.3934 -2.1895 -1.4071
```

2.
This record from Alexandria via LeMat-Bulk describes LiIn2P at its PBEsol-relaxed geometry. The functional is meta-GGA SCAN.

Calculated values
Crystal system   tetragonal
Energy of formation from the pure elements   -0.05 eV per atom
D(E_F)   1.3 states/eV/f.u.

The structure in extended XYZ format:
```
4
Lattice="4.2237 0.0000 0.0000 0.0000 4.2237 0.0000 0.0000 0.0000 4.4698" Properties=species:S:1:pos:R:3 pbc="T T T"
In 0.0000 2.1119 0.0000
In 2.1119 0.0000 0.0000
Li 2.1119 2.1119 2.2349
P 0.0000 0.0000 2.2349
```

3.
This record from Alexandria via LeMat-Bulk describes KAuCl4 at its PBEsol-relaxed geometry. The functional is meta-GGA SCAN.

Calculated values
Formation energy without anion corrections   -1064 meV/atom
Crystal system   monoclinic
D(E_F)   0.0 states/eV/f.u.

The structure in extended XYZ format:
```
24
Lattice="6.2936 0.0000 0.0000 0.0000 8.7865 0.0569 0.0000 -1.3025 11.9450" Properties=species:S:1:pos:R:3 pbc="T T T"
K 1.9167 6.4250 3.7836
K 4.3769 5.7737 9.7561
K 5.0634 1.5011 2.1532
K 1.2302 0.8499 8.1258
Au 4.7199 3.6364 5.9576
Au 1.5737 2.9852 11.9302
Au 4.7197 8.0299 5.9813
Au 1.5739 7.3787 11.9538
Cl 3.1114 5.0597 6.7553
Cl 3.1822 5.7109 0.7828
Cl 0.0342 2.2127 5.1601
Cl 6.2594 1.5614 11.1326
Cl 5.5645 3.3793 8.0617
Cl 0.7291 4.0305 2.0891
Cl 3.8754 3.8933 3.8535
Cl 2.4182 3.2420 9.8260
Cl 3.4228 -0.1934 11.3063
Cl 2.8708 0.4578 5.3338
Cl 6.0190 7.4665 0.5997
Cl 0.2746 6.8153 6.5722
Cl 1.2266 6.8226 9.7592
Cl 5.0671 7.4738 3.7867
Cl 1.9211 0.4509 2.1464
Cl 4.3725 -0.2003 8.1189
```

4.
This record from Alexandria via LeMat-Bulk describes Sb3RhAu at its PBEsol-relaxed geometry. The functional is meta-GGA SCAN.

Calculated values
Formation energy without anion corrections   1089 meV/atom
Crystal system   cubic
D(E_F)   3.7 states/eV/f.u.

The structure in extended XYZ format:
```
5
Lattice="-1.4833 -4.1130 -2.8015 4.8460 -1.8587 0.1630 -1.1319 -2.5678 4.3692" Properties=species:S:1:pos:R:3 pbc="T T T"
Sb 2.4230 -0.9293 0.0815
Sb -0.5659 -1.2839 2.1846
Sb -0.7417 -2.0565 -1.4007
Au 0.0000 0.0000 0.0000
Rh 1.1154 -4.2698 0.8654
```

5.
This record from Alexandria via LeMat-Bulk describes Rb3SbRu at its PBEsol-relaxed geometry. The functional is meta-GGA SCAN.

Calculated values
Formation energy without anion corrections   929 meV/atom
Crystal system   cubic
D(E_F)   5.4 states/eV/f.u.

The structure in extended XYZ format:
```
5
Lattice="-1.3877 -1.7168 -5.2533 1.4257 -5.3442 1.3699 -5.3396 -0.9808 1.7310" Properties=species:S:1:pos:R:3 pbc="T T T"
Sb -2.6508 -4.0209 -1.0762
Rb 0.7129 -2.6721 0.6849
Rb -2.6698 -0.4904 0.8655
Rb -0.6939 -0.8584 -2.6266
Ru 0.0000 0.0000 0.0000
```

6.
This record from Alexandria via LeMat-Bulk describes Zr5SiSn3 at its PBEsol-relaxed geometry. The functional is meta-GGA SCAN.

Calculated values
Formation energy without anion corrections   -811 meV/atom
Crystal system   hexagonal
D(E_F)   5.1 states/eV/f.u.

The structure in extended XYZ format:
```
18
Lattice="5.8077 0.0000 0.0000 0.0000 8.5809 0.0000 0.0000 -4.2905 7.4313" Properties=species:S:1:pos:R:3 pbc="T T T"
Zr 2.9039 4.2905 2.4771
Zr 2.9039 0.0000 4.9542
Zr 0.0000 0.0000 4.9542
Zr 0.0000 4.2905 2.4771
Zr 4.3558 1.1131 1.9280
Zr 4.3558 -3.1773 5.5033
Zr 4.3558 6.3546 0.0000
Zr 1.4519 3.1773 5.5033
Zr 1.4519 -1.1131 1.9280
Zr 1.4519 2.2263 0.0000
Si 2.9039 0.0000 0.0000
Si 0.0000 0.0000 0.0000
Sn 4.3558 2.6025 4.5077
Sn 4.3558 -1.6879 2.9236
Sn 4.3558 3.3759 0.0000
Sn 1.4519 1.6879 2.9236
Sn 1.4519 -2.6025 4.5077
Sn 1.4519 5.2051 0.0000
```

7.
This record from Alexandria via LeMat-Bulk describes CdPt at its PBEsol-relaxed geometry. The functional is meta-GGA SCAN.

Calculated values
Crystal system   orthorhombic
Energy of formation from the pure elements   -0.20 eV per atom
D(E_F)   0.8 states/eV/f.u.

The structure in extended XYZ format:
```
4
Lattice="2.9166 0.0000 0.0000 0.0000 4.7582 0.0000 0.0000 0.0000 4.8319" Properties=species:S:1:pos:R:3 pbc="T T T"
Pt 0.0000 2.3791 4.3804
Pt 1.4583 0.0000 0.4516
Cd 0.0000 0.0000 2.8979
Cd 1.4583 2.3791 1.9340
```

8.
This record from Alexandria via LeMat-Bulk describes V3Sb2 at its PBEsol-relaxed geometry. The functional is meta-GGA SCAN.

Calculated values
Formation energy without anion corrections   -225 meV/atom
Crystal system   trigonal
D(E_F)   4.7 states/eV/f.u.

The structure in extended XYZ format:
```
10
Lattice="-1.1463 -4.1058 3.3916 3.4785 -4.1607 0.5135 3.9234 0.4909 6.2951" Properties=species:S:1:pos:R:3 pbc="T T T"
V 3.8763 -5.1009 3.8845
V 1.6861 -5.0749 5.2476
V 2.2290 -3.1304 3.6413
V 2.3792 -2.6747 6.3156
V 4.5695 -2.7007 4.9526
V 4.0266 -4.6452 6.5588
Sb 3.3702 -7.1953 5.5527
Sb 2.8853 -0.5803 4.6474
Sb 5.4562 -5.0427 8.8637
Sb 0.7993 -2.7329 1.3365
```

9.
This record from Alexandria via LeMat-Bulk describes Si4Mo2P4O23 at its PBEsol-relaxed geometry. The functional is meta-GGA SCAN.

Calculated values
Formation energy without anion corrections   -2570 meV/atom
Crystal system   triclinic

The structure in extended XYZ format:
```
33
Lattice="5.2495 -0.0044 0.0011 2.4706 8.1481 0.0108 2.3984 1.7758 10.8655" Properties=species:S:1:pos:R:3 pbc="T T T"
Si 2.4817 2.7700 7.7603
Si 5.0367 6.3678 4.6733
Si 5.0818 3.5517 6.2042
Si 7.6368 7.1494 3.1172
Mo 2.5119 2.3445 1.6067
Mo 7.6066 7.5750 9.2708
P 2.6487 5.6681 0.5753
P 4.9138 7.7795 7.3091
P 5.2047 2.1399 3.5684
P 7.4698 4.2513 10.3022
O 2.6860 0.7055 1.8671
O 7.5921 2.9705 9.3658
O 7.7657 5.4735 9.4592
O 2.3528 4.4459 1.4183
O 5.1839 7.5876 5.7734
O 6.0007 7.0970 8.1048
O 6.0266 4.2396 10.8215
O 6.2822 6.4813 3.6681
O 9.3023 7.6721 10.3076
O 4.9346 2.3319 5.1041
O 7.4325 9.2140 9.0104
O 3.5092 7.2781 7.5949
O 4.9920 9.3194 7.4755
O 6.4744 3.3980 6.9834
O 6.6093 2.6414 3.2826
O 5.0592 4.9597 5.4388
O 0.8162 2.2473 0.5699
O 4.0919 5.6798 0.0560
O 3.6441 6.5214 3.8941
O 3.8363 3.4381 7.2094
O 4.1178 2.8225 2.7727
O 2.5264 6.9489 1.5117
O 5.1265 0.6000 3.4020
```

10.
This record from Alexandria via LeMat-Bulk describes Ta6Fe16Si7 at its PBEsol-relaxed geometry. The functional is meta-GGA SCAN.

Calculated values
Formation energy without anion corrections   -320 meV/atom
Crystal system   cubic
D(E_F)   21.9 states/eV/f.u.

The structure in extended XYZ format:
```
29
Lattice="-4.0851 -6.3976 1.9186 -0.1684 -6.1394 -4.8557 3.7415 -6.6066 1.9114" Properties=species:S:1:pos:R:3 pbc="T T T"
Ta -0.3079 -11.6050 2.0597
Ta 2.0122 -11.4521 -1.9532
Ta -2.5243 -7.6915 0.9275
Ta 2.1120 -7.8153 0.9232
Ta -2.6240 -11.3283 -1.9489
Ta -0.2041 -7.5385 -3.0854
Fe -1.3385 -5.2789 0.4089
Fe -0.4232 -15.8217 -0.8477
Fe -1.5678 -13.8007 -1.4324
Fe -0.3717 -13.9436 0.6377
Fe 1.0557 -5.3429 0.4067
Fe -0.1404 -5.1999 -1.6634
Fe -0.0889 -3.3219 -0.1780
Fe 0.8264 -13.8646 -1.4347
Fe -2.1540 -10.3448 0.5304
Fe -0.3174 -11.8673 -0.6359
Fe -2.1120 -8.6985 -1.5526
Fe -0.2367 -8.9226 1.6932
Fe 1.5999 -10.4451 0.5269
Fe -0.2754 -10.2210 -2.7189
Fe -0.1946 -7.2763 -0.3899
Fe 1.6419 -8.7987 -1.5561
Si -0.2560 -9.5718 -0.5129
Si -0.1718 -6.5021 1.9150
Si -2.0425 -3.1988 0.9593
Si 1.7865 -6.3730 -1.4722
Si -0.0842 -3.0697 -2.4279
Si -2.1268 -6.2685 -1.4685
Si 1.8707 -3.3033 0.9557
```

11.
This record from Alexandria via LeMat-Bulk describes POs at its PBEsol-relaxed geometry. The functional is meta-GGA SCAN.

Calculated values
Crystal system   monoclinic
Energy of formation from the pure elements   0.13 eV per atom
D(E_F)   1.0 states/eV/f.u.

The structure in extended XYZ format:
```
6
Lattice="2.8497 0.0000 0.0000 0.0000 5.3514 0.0065 -1.4248 -1.8572 5.4766" Properties=species:S:1:pos:R:3 pbc="T T T"
Os 0.0000 2.7996 3.2530
Os 1.4248 0.9607 1.8885
Os 1.4248 3.5632 0.9979
P 1.4248 3.0195 5.1262
P 0.0000 1.8733 0.0467
P 0.0000 -0.2226 3.3127
```

12.
This record from Alexandria via LeMat-Bulk describes LiMgCr2 at its PBEsol-relaxed geometry. The functional is meta-GGA SCAN.

Calculated values
Crystal system   monoclinic
Energy of formation from the pure elements   0.64 eV per atom
D(E_F)   3.4 states/eV/f.u.

The structure in extended XYZ format:
```
4
Lattice="-2.2860 0.6130 0.9915 -0.4825 -4.2460 1.5128 3.4003 0.8193 3.3841" Properties=species:S:1:pos:R:3 pbc="T T T"
Cr 0.9468 1.1152 3.4319
Cr 0.1675 0.3172 0.9436
Li -1.3842 -1.8165 1.2521
Mg 1.4589 -1.7134 2.4484
```

Result set for spin magnetization: 0.0; 0.0; 0.0; 0.0; 3.2; 0.0; 0.0; 0.0; 2.0; 0.0; 0.0; 0.0 μB/f.u., one per record in the order listed.